Record 1
First-principles (GGA-PBE) data for an optimized crystal structure of V4Ga5C, as listed in Alexandria via LeMat-Bulk.

Structure (POSCAR):
```
V4Ga5C
1.0
7.065 -1.424 0.000
7.065 1.424 0.000
-1.101 0.000 7.160
V Ga C
4 5 1
Direct
0.001 0.001 0.190 V
0.350 0.350 0.963 V
0.650 0.650 0.037 V
0.999 0.999 0.810 V
0.174 0.174 0.364 Ga
0.177 0.177 0.743 Ga
0.500 0.500 0.500 Ga
0.823 0.823 0.257 Ga
0.826 0.826 0.636 Ga
0.500 0.500 0.000 C
```

Properties
ΔH_f (0 K) = -173 kJ/mol of formula units
space group = C2/m
uncorrected energy = -6.2621 eV per atom

---

Record 2
First-principles (GGA-PBE) data for an optimized crystal structure of TlFe2Ir, as listed in Alexandria via LeMat-Bulk.

Structure (POSCAR):
```
TlFe2Ir
1.0
3.042 0.000 0.000
0.000 3.042 0.000
0.000 0.000 6.612
Tl Fe Ir
1 2 1
Direct
0.000 0.000 0.000 Tl
0.000 0.000 0.475 Fe
0.500 0.500 0.281 Fe
0.500 0.500 0.696 Ir
```

Properties
ΔH_f (0 K) = 130 kJ/mol of formula units
space group = P4mm
relative energy among the computed polymorphs = 0.000 eV per atom
uncorrected energy = -6.7013 eV per atom